Entry from Alexandria: a geometry-optimized LiBe2 structure (PBE).

Cell: 4.836 4.836 5.616 Å, 104.24 104.24 28.66°
Fractional coordinates of all 6 atoms:
Li1 0.019 0.019 0.283
Li2 0.981 0.981 0.717
Be1 0.283 0.283 0.359
Be2 0.331 0.331 0.958
Be3 0.669 0.669 0.042
Be4 0.717 0.717 0.641

Output
energy above the lowest structure with this stoichiometry	65	meV per atom
DOS(E_F)	1.1	states/eV per cell
V	60.9	Å³ per cell
symmetry	No. 12
raw total energy	-2.9769	eV per atom

=====

Entry from Alexandria: a geometry-optimized LiBe5 structure (PBE).

Cell: 4.228 4.228 3.650 Å, 90.00 90.00 128.55°
Fractional coordinates of all 6 atoms:
Li1 0.000 0.000 0.000
Be1 0.178 0.822 0.500
Be2 0.333 0.667 0.000
Be3 0.500 0.500 0.500
Be4 0.667 0.333 0.000
Be5 0.822 0.178 0.500

Output
energy above the lowest structure with this stoichiometry	28	meV per atom
DOS(E_F)	0.4	states/eV per cell
V	51.0	Å³ per cell
symmetry	No. 65
raw total energy	-3.3520	eV per atom

=====

Entry from Alexandria: a geometry-optimized Li3Be structure (PBE).

Cell: 2.781 2.781 7.805 Å, 90.00 90.00 90.00°
Fractional coordinates of all 4 atoms:
Li1 0.000 0.000 0.000
Li2 0.500 0.500 0.290
Li3 0.500 0.500 0.710
Be1 0.000 0.000 0.500

Output
energy above the lowest structure with this stoichiometry	46	meV per atom
DOS(E_F)	1.8	states/eV per cell
V	60.3	Å³ per cell
symmetry	No. 123
raw total energy	-2.1565	eV per atom

=====

Entry from Alexandria: a geometry-optimized Li2Be structure (PBE).

Cell: 13.102 13.102 13.102 Å, 168.99 168.99 15.59°
Fractional coordinates of all 6 atoms:
Li1 0.300 0.550 0.750
Li2 0.450 0.700 0.750
Li3 0.550 0.300 0.250
Li4 0.700 0.450 0.250
Be1 0.125 0.875 0.250
Be2 0.875 0.125 0.750

Output
energy above the lowest structure with this stoichiometry	178	meV per atom
DOS(E_F)	2.2	states/eV per cell
V	82.0	Å³ per cell
symmetry	No. 141
raw total energy	-2.2385	eV per atom

=====

Entry from Alexandria: a geometry-optimized Li3Be structure (PBE).

Cell: 5.097 5.097 5.097 Å, 117.09 117.09 117.09°
Fractional coordinates of all 4 atoms:
Li1 0.000 0.500 0.500
Li2 0.500 0.000 0.500
Li3 0.500 0.500 0.000
Be1 0.000 0.000 0.000

Output
energy above the lowest structure with this stoichiometry	58	meV per atom
DOS(E_F)	1.7	states/eV per cell
V	57.5	Å³ per cell
symmetry	No. 166
raw total energy	-2.1440	eV per atom

=====

Entry from Alexandria: a geometry-optimized LiBe5 structure (PBE).

Cell: 2.374 2.374 9.494 Å, 90.00 90.00 90.00°
Fractional coordinates of all 6 atoms:
Li1 0.000 0.000 0.000
Be1 0.000 0.000 0.352
Be2 0.000 0.000 0.648
Be3 0.500 0.500 0.203
Be4 0.500 0.500 0.500
Be5 0.500 0.500 0.797

Output
energy above the lowest structure with this stoichiometry	63	meV per atom
DOS(E_F)	0.6	states/eV per cell
V	53.5	Å³ per cell
symmetry	No. 123
raw total energy	-3.3169	eV per atom

=====

Values of density, in order: 1.4; 1.7; 0.8; 0.9; 0.9; 1.6, all in g/cm³.